! CaFeSb3, optimized geometry, DFT PBE-GGA; values from VASP
! ΔE_f (raw)   0.25 eV/f.u.
! Volume   26.03 Å³/atom
! Density of states at the Fermi level   7.801 states/eV/cell
! ΔE to the lowest computed polymorph   0.0 meV per atom
! SG   No. 221
! Total magnetization   0.000 Bohr magnetons per cell
&SYSTEM
  ibrav = 0, nat = 5, ntyp = 3
/
ATOMIC_SPECIES
Fe 55.84 Fe.upf
Sb 121.76 Sb.upf
Ca 40.08 Ca.upf
CELL_PARAMETERS angstrom
-4.5940 2.0499 -0.6148
-0.7331 -2.8752 -4.1086
-2.0106 -3.6354 2.9028
ATOMIC_POSITIONS crystal
Fe 0.0000 0.0000 0.0000
Sb 0.0000 0.5000 0.0000
Sb 0.5000 0.0000 0.0000
Sb 0.0000 0.0000 0.5000
Ca 0.5000 0.5000 0.5000